[1]
Below is a geometry-optimized Pr2TeRh structure, with properties calculated at the PBE level.

Results
Its symmetry is No. 123. The calculation puts the calculated volume at 106.0 Å³/cell. The calculation puts the uncorrected energy at -23.6 eV/cell. Its uncorrected formation energy is -883.9 meV/atom.

Cell and atoms, written as POSCAR:
```
Pr2TeRh
1.0
3.735 0.000 0.000
0.000 3.735 0.000
0.000 0.000 7.594
Pr Te Rh
2 1 1
Direct
0.000 0.000 0.775
0.000 0.000 0.225
0.500 0.500 0.500
0.500 0.500 0.000
```


[2]
Below is a geometry-optimized Ta3Hg4 structure, with properties calculated at the PBE level.

Results
Its symmetry is No. 191. The calculation puts the calculated volume at 146.1 Å³/cell. The calculation puts the uncorrected energy at -33.6 eV/cell. For the calculated formation energy, the calculation gives 0.452 eV per atom.

Cell and atoms, written as POSCAR:
```
Ta3Hg4
1.0
-4.433 2.298 -2.395
-0.414 -2.186 5.071
1.328 4.860 2.204
Hg Ta
4 3
Direct
0.667 0.333 0.500
0.000 0.000 0.250
0.000 0.000 0.750
0.333 0.667 0.500
0.500 0.000 0.000
0.000 0.500 0.000
0.500 0.500 0.000
```